Entry 1:
This record from the Alexandria database describes a relaxed Ca2W3O8 crystal. The functional is GGA+U.

a b c (Å): 11.439 6.042 5.569
angles (deg): 90.00 109.96 90.00
Space group C2/m (No. 12)
Unique sites:
1 Ca 0.216 0.000 0.170 (multiplicity 4)
2 W 0.000 0.263 0.500 (multiplicity 4)
3 W 0.000 0.500 0.000 (multiplicity 2)
4 O 0.098 0.000 0.431 (multiplicity 4)
5 O 0.106 0.276 0.884 (multiplicity 8)
6 O 0.117 0.500 0.398 (multiplicity 4)

---

Entry 2:
This record from the Alexandria database describes a relaxed CaW2O4 crystal. The functional is GGA+U.

a b c (Å): 9.374 9.374 9.374
angles (deg): 90.00 90.00 90.00
Space group Fd-3m (No. 227, origin choice 2)
Unique sites:
1 Ca 0.125 0.125 0.125 (multiplicity 8)
2 W 0.000 0.000 0.500 (multiplicity 16)
3 O 0.016 0.016 0.734 (multiplicity 32)

---

Entry 3:
This record from the Alexandria database describes a relaxed CaW2O4 crystal. The functional is GGA+U.

a b c (Å): 9.587 3.287 11.488
angles (deg): 90.00 90.00 90.00
Space group Pnma (No. 62)
Unique sites:
1 Ca 0.238 0.250 0.154 (multiplicity 4)
2 W 0.059 0.250 0.382 (multiplicity 4)
3 W 0.090 0.250 0.898 (multiplicity 4)
4 O 0.034 0.750 0.787 (multiplicity 4)
5 O 0.085 0.250 0.574 (multiplicity 4)
6 O 0.121 0.750 0.027 (multiplicity 4)
7 O 0.198 0.750 0.322 (multiplicity 4)

---

Entry 4:
This record from the Alexandria database describes a relaxed CaW3O crystal. The functional is GGA+U.

a b c (Å): 5.850 5.850 5.850
angles (deg): 90.00 90.00 90.00
Space group Pm-3m (No. 221)
Unique sites:
1 Ca 0.000 0.000 0.000 (multiplicity 1)
2 W 0.000 0.000 0.500 (multiplicity 3)
3 O 0.500 0.500 0.500 (multiplicity 1)

---

Entry 5:
This record from the Alexandria database describes a relaxed CaW2O4 crystal. The functional is GGA+U.

a b c (Å): 6.513 11.415 5.442
angles (deg): 90.00 90.00 90.00
Space group Pmmn (No. 59, origin choice 2)
Unique sites:
1 Ca 0.250 0.250 0.042 (multiplicity 2)
2 Ca 0.250 0.750 0.326 (multiplicity 2)
3 W 0.000 0.000 0.500 (multiplicity 4)
4 W 0.250 0.513 0.967 (multiplicity 4)
5 O 0.000 0.106 0.844 (multiplicity 8)
6 O 0.250 0.088 0.306 (multiplicity 4)
7 O 0.250 0.612 0.624 (multiplicity 4)

---

Entry 6:
This record from the Alexandria database describes a relaxed Ca2W9O13 crystal. The functional is GGA+U.

a b c (Å): 3.193 5.615 17.925
angles (deg): 87.16 86.89 79.90
Space group P-1 (No. 2)
Unique sites:
1 Ca 0.012 0.118 0.268 (multiplicity 2)
2 W 0.147 0.183 0.472 (multiplicity 2)
3 W 0.176 0.369 0.834 (multiplicity 2)
4 W 0.258 0.013 0.064 (multiplicity 2)
5 W 0.428 0.366 0.624 (multiplicity 2)
6 W 0.500 0.500 0.000 (multiplicity 1)
7 O 0.000 0.113 0.593 (multiplicity 2)
8 O 0.011 0.394 0.073 (multiplicity 2)
9 O 0.163 0.366 0.366 (multiplicity 2)
10 O 0.251 0.002 0.859 (multiplicity 2)
11 O 0.380 0.187 0.730 (multiplicity 2)
12 O 0.383 0.416 0.209 (multiplicity 2)
13 O 0.500 0.500 0.500 (multiplicity 1)

---

Entry 7:
This record from the Alexandria database describes a relaxed CaWO4 crystal. The functional is GGA+U.

a b c (Å): 5.968 5.035 5.676
angles (deg): 90.00 108.66 90.00
Space group P2_1/c (No. 14)
Unique sites:
1 Ca 0.000 0.000 0.000 (multiplicity 2)
2 W 0.500 0.000 0.500 (multiplicity 2)
3 O 0.195 0.147 0.399 (multiplicity 4)
4 O 0.391 0.723 0.696 (multiplicity 4)

---

Entry 8:
This record from the Alexandria database describes a relaxed Ca3WO6 crystal. The functional is GGA+U.

a b c (Å): 5.603 5.878 9.838
angles (deg): 90.00 124.42 90.00
Space group P2_1/c (No. 14)
Unique sites:
1 Ca 0.000 0.000 0.000 (multiplicity 2)
2 Ca 0.226 0.056 0.742 (multiplicity 4)
3 W 0.500 0.000 0.500 (multiplicity 2)
4 O 0.165 0.177 0.450 (multiplicity 4)
5 O 0.257 0.725 0.426 (multiplicity 4)
6 O 0.392 0.057 0.275 (multiplicity 4)

---

no.,calculated total energy (eV per atom)
1,-7.22
2,-7.23
3,-7.21
4,-2.41
5,-7.10
6,-6.90
7,-7.28
8,-7.07